Record 1
VASP calculation (PBE-GGA) on crystalline DyTmGaPd at its relaxed geometry.

Output
distance to the lowest polymorph of the same formula = 0 meV/atom

```
4
Lattice="-0.830 2.649 2.442 -3.448 1.275 -2.555 -2.850 -4.807 1.447" Properties=species:S:1:pos:R:3 pbc="T T T"
Tm -4.488 -0.543 1.862
Ga -2.749 -2.933 2.247
Pd -2.630 1.438 0.344
Dy -0.941 -1.004 0.769
```


Record 2
VASP calculation (PBE-GGA) on crystalline Hf3TiZn4 at its relaxed geometry.

```
8
Lattice="3.260 0.000 0.000 0.000 3.260 0.000 0.000 0.000 13.089" Properties=species:S:1:pos:R:3 pbc="T T T"
Zn 0.000 0.000 4.861
Ti 1.630 1.630 0.000
Hf 1.630 1.630 6.544
Zn 0.000 0.000 8.227
Zn 0.000 0.000 11.615
Hf 1.630 1.630 9.904
Hf 1.630 1.630 3.184
Zn 0.000 0.000 1.474
```


One value per record, in order, for density of states at the Fermi level: 2.77, 1.37 states/eV/f.u..
One value per record, in order, for formation enthalpy at 0 K: -0.755, -0.191 eV/atom.